Entry 1:
VASP calculation (PBE) on Li2PrSm2Si2 after structural relaxation.

Computed properties:
total magnetization: 0.00 μB per formula unit
formation energy from raw total energies: -0.389 eV per atom

Unit cell a=4.5272 b=4.5272 c=27.3733 alpha=90.00 beta=90.00 gamma=120.00
Space group R-3m (No. 166, hexagonal axes)
Asymmetric unit:
Li: 0.0000 0.0000 0.0967 (multiplicity 6)
Pr: 0.0000 0.0000 0.5000 (multiplicity 3)
Sm: 0.0000 0.0000 0.3719 (multiplicity 6)
Si: 0.0000 0.0000 0.2391 (multiplicity 6)

---

Entry 2:
VASP calculation (PBE) on Al2Cl after structural relaxation.

Computed properties:
total magnetization: 0.00 μB per formula unit
energy above the most stable polymorph in this dataset: 104 meV/atom
formation energy from raw total energies: -0.345 eV per atom

Unit cell a=10.461 b=5.639 c=4.650 alpha=90.00 beta=90.00 gamma=90.00
Space group Cmcm (No. 63)
Asymmetric unit:
Al: 0.219 0.135 0.250 (multiplicity 8)
Cl: 0.000 0.255 0.250 (multiplicity 4)

---

Entry 3:
VASP calculation (PBE) on Ba2YMn after structural relaxation.

Computed properties:
total magnetization: 4.38 μB per formula unit
energy above the most stable polymorph in this dataset: 300 meV/atom
energy relative to the elements: 0.597 eV/atom

Unit cell a=3.9061 b=3.9061 c=35.3452 alpha=90.00 beta=90.00 gamma=120.00
Space group R-3m (No. 166, hexagonal axes)
Asymmetric unit:
Ba: 0.0000 0.0000 0.2386 (multiplicity 6)
Y: 0.0000 0.0000 0.0000 (multiplicity 3)
Mn: 0.0000 0.0000 0.5000 (multiplicity 3)

---

Entry 4:
VASP calculation (PBE) on Y3Ge4Pt4 after structural relaxation.

Computed properties:
total magnetization: 0.00 μB per formula unit
energy relative to the elements: -0.982 eV/atom

Unit cell a=3.943 b=4.290 c=13.117 alpha=80.62 beta=81.36 gamma=89.85
Space group P-1 (No. 2)
Asymmetric unit:
Y: 0.000 0.000 0.000 (multiplicity 1)
Y: 0.146 0.646 0.710 (multiplicity 2)
Ge: 0.309 0.809 0.381 (multiplicity 2)
Ge: 0.451 0.453 0.096 (multiplicity 2)
Pt: 0.252 0.252 0.496 (multiplicity 2)
Pt: 0.405 0.906 0.190 (multiplicity 2)

---

Entry 5:
VASP calculation (PBE) on CoAsPt3 after structural relaxation.

Computed properties:
total magnetization: 2.21 μB per formula unit
energy above the most stable polymorph in this dataset: 0 meV/atom
energy relative to the elements: 0.802 eV/atom

Unit cell a=4.635 b=4.635 c=4.635 alpha=90.00 beta=90.00 gamma=90.00
Space group Pm-3m (No. 221)
Asymmetric unit:
Co: 0.000 0.000 0.000 (multiplicity 1)
As: 0.500 0.500 0.500 (multiplicity 1)
Pt: 0.000 0.500 0.500 (multiplicity 3)

---

Entry 6:
VASP calculation (PBE) on Ti4Co4Si7 after structural relaxation.

Computed properties:
total magnetization: 0.00 μB per formula unit
formation energy from raw total energies: -0.761 eV per atom

Unit cell a=12.504 b=12.504 c=4.924 alpha=90.00 beta=90.00 gamma=90.00
Space group I4/mmm (No. 139)
Asymmetric unit:
Ti: 0.000 0.193 0.000 (multiplicity 8)
Ti: 0.136 0.136 0.500 (multiplicity 8)
Co: 0.150 0.350 0.250 (multiplicity 16)
Si: 0.000 0.000 0.250 (multiplicity 4)
Si: 0.000 0.293 0.500 (multiplicity 8)
Si: 0.000 0.406 0.000 (multiplicity 8)
Si: 0.206 0.206 0.000 (multiplicity 8)